No. 1
The following is a PBE calculation of KNa7Pb3 after structural relaxation, from Alexandria via LeMat-Bulk.

a b c (Å): 5.935 8.544 8.544
angles (deg): 87.00 110.85 110.85
Fractional positions:
K: 0.500 0.500 0.500
Na: 0.157 0.154 0.154
Na: 0.306 0.004 0.606
Na: 0.694 0.394 0.996
Na: 0.306 0.606 0.004
Na: 0.000 0.500 0.500
Na: 0.694 0.996 0.394
Na: 0.843 0.846 0.846
Pb: 0.000 0.766 0.234
Pb: 0.500 0.000 0.000
Pb: 0.000 0.234 0.766

Calculated values
SG: C2/m (12)
Total energy (eV/atom): -1.989
N(E_F) (states/eV/f.u.): 5.58


No. 2
The following is a PBE calculation of TcAs2BrCl after structural relaxation, from Alexandria via LeMat-Bulk.

a b c (Å): 5.242 4.781 5.242
angles (deg): 90.00 90.00 90.00
Site moments in Bohr magnetons follow the coordinates.
Fractional positions:
As: 0.000 0.000 0.500  -0.25
As: 0.500 0.000 0.000  -0.22
Tc: 0.000 0.500 0.000  2.38
Br: 0.000 0.000 0.000  -0.02
Cl: 0.500 0.500 0.500  -0.05

Calculated values
Offset from the most stable computed form (eV/atom): 1.1812
SG: P4/mmm (123)
N(E_F) (states/eV/f.u.): 4.76
Formation energy from raw total energies (kJ/mol of atoms): 140


No. 3
The following is a PBE calculation of LaCe2Ga2Pd2 after structural relaxation, from Alexandria via LeMat-Bulk.

a b c (Å): 4.521 4.521 9.189
angles (deg): 75.76 75.76 60.00
Fractional positions:
La: 0.000 0.000 0.000
Ce: 0.141 0.141 0.578
Ce: 0.859 0.859 0.422
Ga: 0.740 0.740 0.780
Ga: 0.260 0.260 0.220
Pd: 0.576 0.576 0.271
Pd: 0.424 0.424 0.729

Calculated values
SG: R-3m (166)
Total energy (eV/atom): -5.442
N(E_F) (states/eV/f.u.): 5.41


No. 4
The following is a PBE calculation of SrCaAs2Pd4 after structural relaxation, from Alexandria via LeMat-Bulk.

a b c (Å): 4.248 4.248 10.001
angles (deg): 90.00 90.00 90.00
Fractional positions:
Sr: 0.000 0.000 0.500
Ca: 0.000 0.000 0.000
As: 0.500 0.500 0.335
As: 0.500 0.500 0.665
Pd: 0.000 0.500 0.216
Pd: 0.500 0.000 0.784
Pd: 0.500 0.000 0.216
Pd: 0.000 0.500 0.784

Calculated values
SG: P4/mmm (123)
Total energy (eV/atom): -4.827
N(E_F) (states/eV/f.u.): 4.77


No. 5
The following is a PBE calculation of Nb2NiBi4 after structural relaxation, from Alexandria via LeMat-Bulk.

a b c (Å): 5.349 5.349 7.768
angles (deg): 69.86 69.86 90.00
Fractional positions:
Ni: 0.000 0.000 0.000
Nb: 0.594 0.594 0.811
Nb: 0.406 0.406 0.189
Bi: 0.807 0.807 0.387
Bi: 0.193 0.193 0.613
Bi: 0.000 0.500 0.000
Bi: 0.500 0.000 0.000

Calculated values
SG: I4/mmm (139)
Total energy (eV/atom): -5.276
N(E_F) (states/eV/f.u.): 6.80


No. 6
The following is a PBE calculation of Y2Tc after structural relaxation, from Alexandria via LeMat-Bulk.

a b c (Å): 7.884 7.884 4.045
angles (deg): 90.00 90.00 120.00
Fractional positions:
Y: 0.000 0.257 0.000
Y: 0.000 0.594 0.500
Y: 0.257 0.000 0.000
Y: 0.743 0.743 0.000
Y: 0.594 0.000 0.500
Y: 0.406 0.406 0.500
Tc: 0.000 0.000 0.500
Tc: 0.333 0.667 0.000
Tc: 0.667 0.333 0.000

Calculated values
Offset from the most stable computed form (eV/atom): 0.0355
SG: P-62m (189)
N(E_F) (states/eV/f.u.): 2.86


No. 7
The following is a PBE calculation of YHf2Ta after structural relaxation, from Alexandria via LeMat-Bulk.

a b c (Å): 7.959 7.959 6.402
angles (deg): 51.57 51.57 90.00
Fractional positions:
Y: 0.500 0.500 0.000
Y: 0.250 0.750 0.500
Hf: 0.651 0.125 0.250
Hf: 0.099 0.625 0.250
Hf: 0.375 0.349 0.750
Hf: 0.875 0.901 0.750
Ta: 0.000 0.000 0.000
Ta: 0.750 0.250 0.500

Calculated values
Offset from the most stable computed form (eV/atom): 0.5791
SG: I-42d (122)
N(E_F) (states/eV/f.u.): 4.50


No. 8
The following is a PBE calculation of PuGa3CoCu after structural relaxation, from Alexandria via LeMat-Bulk.

a b c (Å): 5.676 6.114 6.687
angles (deg): 117.20 90.00 90.00
Site moments in Bohr magnetons follow the coordinates.
Fractional positions:
Pu: 0.750 0.269 0.537  5.25
Pu: 0.250 0.731 0.463  5.25
Ga: 0.250 0.146 0.291  0.00
Ga: 0.000 0.294 0.000  0.00
Ga: 0.500 0.706 0.000  0.00
Ga: 0.500 0.294 0.000  0.00
Ga: 0.000 0.706 0.000  0.00
Ga: 0.750 0.854 0.709  0.00
Co: 0.250 0.936 0.872  -0.56
Co: 0.750 0.064 0.128  -0.56
Cu: 0.250 0.353 0.707  0.01
Cu: 0.750 0.647 0.293  0.01

Calculated values
SG: Cmcm (63)
Total energy (eV/atom): -5.876
N(E_F) (states/eV/f.u.): 12.63